# NaAlHPt2

A geometry-optimized NaAlHPt2 structure (PBE-GGA, Alexandria).

Results
Raw total energy ... -4.273 eV per atom
Total moment ... 0.000 μB/f.u.

Cell lengths 4.0710, 4.0710, 4.0081 Å; angles 90.00, 90.00, 90.00 degrees
Last column: nearest neighbours and their distance in Å.
Space group P4/mmm (No. 123)
Unique sites:
Na 0.0000 0.0000 0.0000 x1  8 Pt 2.86, 4 Al 2.88
Al 0.5000 0.5000 0.0000 x1  2 H 2.00
H 0.5000 0.5000 0.5000 x1  2 Al 2.00, 4 Pt 2.04
Pt 0.0000 0.5000 0.5000 x2  2 H 2.04